Below is an optimized crystal structure of TbSm3O6, with properties calculated at the PBE level.

Cell: 6.895 6.895 6.895 Å, 91.67 91.67 91.67°
Element x y z (fractional)
Tb 0.000 0.000 0.000
Tb 0.500 0.500 0.500
Sm 0.056 0.563 0.752
Sm 0.248 0.944 0.437
Sm 0.437 0.248 0.944
Sm 0.563 0.752 0.056
Sm 0.752 0.056 0.563
Sm 0.944 0.437 0.248
O 0.031 0.900 0.686
O 0.100 0.314 0.969
O 0.187 0.594 0.432
O 0.314 0.969 0.100
O 0.406 0.568 0.813
O 0.432 0.187 0.594
O 0.568 0.813 0.406
O 0.594 0.432 0.187
O 0.686 0.031 0.900
O 0.813 0.406 0.568
O 0.900 0.686 0.031
O 0.969 0.100 0.314

Results
- DOS(E_F): 0.00 states/eV/atom
- Total energy: -166.34 eV for the cell shown
- E_form (uncorrected): -3.46 eV/atom

---

Below is an optimized crystal structure of TbIn2Ge, with properties calculated at the PBE level.

Cell: 3.427 3.427 32.566 Å, 90.00 90.00 120.00°
Element x y z (fractional)
Tb 0.000 0.000 0.000
Tb 0.333 0.667 0.667
Tb 0.667 0.333 0.333
In 0.000 0.000 0.097
In 0.000 0.000 0.903
In 0.333 0.667 0.570
In 0.333 0.667 0.764
In 0.667 0.333 0.236
In 0.667 0.333 0.430
Ge 0.000 0.000 0.500
Ge 0.333 0.667 0.167
Ge 0.667 0.333 0.833

Results
- DOS(E_F): 0.56 states/eV/atom
- Total energy: -41.99 eV for the cell shown
- Formation enthalpy at 0 K: 0.1819 eV per atom
- Polymorph energy (0 for the lowest one): 601 meV per atom

---

Below is an optimized crystal structure of Pm6Y7, with properties calculated at the PBE level.

Cell: 12.395 12.395 12.395 Å, 31.31 31.31 31.31°
Element x y z (fractional)
Pm 0.047 0.047 0.047
Pm 0.150 0.150 0.150
Pm 0.334 0.334 0.334
Pm 0.666 0.666 0.666
Pm 0.850 0.850 0.850
Pm 0.953 0.953 0.953
Y 0.084 0.588 0.588
Y 0.412 0.412 0.916
Y 0.412 0.916 0.412
Y 0.500 0.500 0.500
Y 0.588 0.084 0.588
Y 0.588 0.588 0.084
Y 0.916 0.412 0.412

Results
- DOS(E_F): 2.36 states/eV/atom
- Total energy: -70.20 eV for the cell shown
- Formation enthalpy at 0 K: 0.2733 eV per atom

---

Below is an optimized crystal structure of Pr4Ho2Tm, with properties calculated at the PBE level.

Cell: 6.268 6.706 11.656 Å, 90.00 104.49 90.00°
Element x y z (fractional)
Pr 0.046 0.250 0.367
Pr 0.152 0.250 0.951
Pr 0.356 0.512 0.216
Pr 0.356 0.988 0.216
Pr 0.644 0.012 0.784
Pr 0.644 0.488 0.784
Pr 0.848 0.750 0.049
Pr 0.954 0.750 0.633
Ho 0.287 0.750 0.922
Ho 0.390 0.750 0.506
Ho 0.610 0.250 0.494
Ho 0.713 0.250 0.078
Tm 0.146 0.250 0.663
Tm 0.854 0.750 0.337

Results
- DOS(E_F): 1.49 states/eV/atom
- Total energy: -63.72 eV for the cell shown
- Formation enthalpy at 0 K: 0.1262 eV per atom
- Polymorph energy (0 for the lowest one): 64 meV per atom

---

Below is an optimized crystal structure of Mg2FeHg, with properties calculated at the PBE level.

Cell: 4.275 4.285 7.986 Å, 90.00 90.00 90.00°
Element x y z (fractional)
Mg 0.000 0.000 0.220
Mg 0.000 0.000 0.780
Mg 0.500 0.500 0.220
Mg 0.500 0.500 0.780
Fe 0.000 0.500 0.000
Fe 0.500 0.000 0.000
Hg 0.000 0.500 0.500
Hg 0.500 0.000 0.500

Results
- DOS(E_F): 0.63 states/eV/atom
- Total energy: -23.24 eV for the cell shown
- Formation enthalpy at 0 K: 0.0837 eV per atom

---

Below is an optimized crystal structure of RuRhAu, with properties calculated at the PBE level.

Cell: 2.778 2.778 6.893 Å, 90.00 90.00 120.00°
Element x y z (fractional)
Ru 0.000 0.000 0.000
Rh 0.667 0.333 0.699
Au 0.333 0.667 0.348

Results
- DOS(E_F): 1.22 states/eV/atom
- Total energy: -19.33 eV for the cell shown
- Formation enthalpy at 0 K: 0.1901 eV per atom
- Polymorph energy (0 for the lowest one): 14 meV per atom

---

Below is an optimized crystal structure of LaTbPr4Er2, with properties calculated at the PBE level.

Cell: 6.312 3.668 12.030 Å, 90.00 100.18 90.00°
Element x y z (fractional)
La 0.000 0.000 0.000
Tb 0.500 0.500 0.000
Pr 0.250 0.000 0.747
Pr 0.252 0.500 0.255
Pr 0.748 0.500 0.745
Pr 0.750 0.000 0.253
Er 0.000 0.500 0.500
Er 0.500 0.000 0.500

Results
- DOS(E_F): 1.39 states/eV/atom
- Total energy: -37.65 eV for the cell shown
- Formation enthalpy at 0 K: 0.0188 eV per atom

---

Below is an optimized crystal structure of LiBeMo, with properties calculated at the PBE level.

Cell: 5.598 5.598 5.598 Å, 90.00 90.00 90.00°
Element x y z (fractional)
Li 0.000 0.000 0.000
Li 0.000 0.500 0.500
Li 0.500 0.000 0.500
Li 0.500 0.500 0.000
Be 0.000 0.000 0.500
Be 0.000 0.500 0.000
Be 0.500 0.000 0.000
Be 0.500 0.500 0.500
Mo 0.250 0.250 0.250
Mo 0.250 0.750 0.750
Mo 0.750 0.250 0.750
Mo 0.750 0.750 0.250

Results
- DOS(E_F): 1.23 states/eV/atom
- Total energy: -50.01 eV for the cell shown
- Formation enthalpy at 0 K: 1.3228 eV per atom
- Polymorph energy (0 for the lowest one): 1077 meV per atom

---

Repeat the third record exactly.
Below is an optimized crystal structure of Pm6Y7, with properties calculated at the PBE level.

Cell: 12.395 12.395 12.395 Å, 31.31 31.31 31.31°
Element x y z (fractional)
Pm 0.047 0.047 0.047
Pm 0.150 0.150 0.150
Pm 0.334 0.334 0.334
Pm 0.666 0.666 0.666
Pm 0.850 0.850 0.850
Pm 0.953 0.953 0.953
Y 0.084 0.588 0.588
Y 0.412 0.412 0.916
Y 0.412 0.916 0.412
Y 0.500 0.500 0.500
Y 0.588 0.084 0.588
Y 0.588 0.588 0.084
Y 0.916 0.412 0.412

Results
- DOS(E_F): 2.36 states/eV/atom
- Total energy: -70.20 eV for the cell shown
- Formation enthalpy at 0 K: 0.2733 eV per atom